{"formula": "YEr2Tm3CuS2", "functional": "PBE-GGA", "state": "relaxed", "lattice_angstrom": [[-2.1761, 2.9051, -1.0938], [-6.4382, -4.1633, 1.7514], [3.3154, 4.5508, 5.4908]], "species": ["Cu", "Er", "Er", "S", "S", "Tm", "Tm", "Tm", "Y"], "frac_coords": [[0.0000, 0.0007, 0.0007], [0.0000, 0.9996, 0.4119], [0.0000, 0.4119, 0.9996], [0.5000, 0.6666, 0.3336], [0.5000, 0.3336, 0.6666], [0.5000, 0.7474, 0.0015], [0.5000, 0.2514, 0.2514], [0.5000, 0.0015, 0.7474], [0.0000, 0.5872, 0.5872]], "rho_g_cm3": 8.63, "energy_ry_per_atom": -0.386, "spacegroup": "Amm2 (38)"}



{"formula": "Zr2NbAg", "functional": "PBE-GGA", "state": "relaxed", "lattice_angstrom": [[2.3586, -3.8284, 1.7339], [-1.2978, -1.9188, 4.2261], [-2.1607, -4.3059, 0.1294]], "species": ["Ag", "Nb", "Zr", "Zr"], "frac_coords": [[0.5000, 0.5000, 0.5000], [0.7500, 0.7500, 0.7500], [0.0000, 0.0000, 0.0000], [0.2500, 0.2500, 0.2500]], "rho_g_cm3": 8.04, "energy_ry_per_atom": -0.536, "spacegroup": "F-43m (216)"}



{"formula": "CuAgSbW", "functional": "PBE-GGA", "state": "relaxed", "lattice_angstrom": [[0.0000, 3.2497, 3.2497], [3.2497, 0.0000, 3.2497], [3.2497, 3.2497, 0.0000]], "species": ["Ag", "Cu", "Sb", "W"], "frac_coords": [[0.5000, 0.5000, 0.5000], [0.7500, 0.7500, 0.7500], [0.0000, 0.0000, 0.0000], [0.2500, 0.2500, 0.2500]], "rho_g_cm3": 11.54, "energy_ry_per_atom": -0.386, "spacegroup": "F-43m (216)", "relative_energy_ev_per_atom": 0.000}



{"formula": "RbSmHgTe3", "functional": "PBE-GGA", "state": "relaxed", "lattice_angstrom": [[12.8781, 0.0000, 0.0000], [0.0000, 4.7188, 0.0000], [0.0000, 0.0000, 13.9763]], "species": ["Hg", "Hg", "Hg", "Hg", "Rb", "Rb", "Rb", "Rb", "Sm", "Sm", "Sm", "Sm", "Te", "Te", "Te", "Te", "Te", "Te", "Te", "Te", "Te", "Te", "Te", "Te"], "frac_coords": [[0.7512, 0.0000, 0.2022], [0.2512, 0.0000, 0.2978], [0.7488, 0.5000, 0.7022], [0.2488, 0.5000, 0.7978], [0.8186, 0.5000, 0.0116], [0.3186, 0.5000, 0.4884], [0.6814, 0.0000, 0.5116], [0.1814, 0.0000, 0.9884], [0.4688, 0.5000, 0.1804], [0.9688, 0.5000, 0.3196], [0.0312, 0.0000, 0.6804], [0.5312, 0.0000, 0.8196], [0.5860, 0.0000, 0.0658], [0.9676, 0.0000, 0.1656], [0.2249, 0.5000, 0.1792], [0.7249, 0.5000, 0.3208], [0.4676, 0.0000, 0.3344], [0.0860, 0.0000, 0.4342], [0.9140, 0.5000, 0.5658], [0.5324, 0.5000, 0.6656], [0.2751, 0.0000, 0.6792], [0.7751, 0.0000, 0.8208], [0.0324, 0.5000, 0.8344], [0.4140, 0.5000, 0.9342]], "rho_g_cm3": 6.41, "energy_ry_per_atom": -0.256, "spacegroup": "Pnma (62)", "relative_energy_ev_per_atom": 0.070}



{"formula": "SiGe2Ir", "functional": "PBE-GGA", "state": "relaxed", "lattice_angstrom": [[3.7340, -0.7308, 2.3345], [-0.2201, -1.9495, 4.0097], [1.5136, -4.1642, 0.5433]], "species": ["Ge", "Ge", "Ir", "Si"], "frac_coords": [[0.0000, 0.0000, 0.0000], [0.2500, 0.2500, 0.2500], [0.5000, 0.5000, 0.5000], [0.7500, 0.7500, 0.7500]], "rho_g_cm3": 9.65, "energy_ry_per_atom": -0.417, "spacegroup": "F-43m (216)"}



{"formula": "PrCuGeTe2S", "functional": "PBE-GGA", "state": "relaxed", "lattice_angstrom": [[-3.4433, 5.2444, 4.0981], [-0.4884, -6.3013, -4.0261], [1.7110, -5.7647, 8.8148]], "species": ["Cu", "Cu", "Ge", "Ge", "Pr", "Pr", "S", "S", "Te", "Te", "Te", "Te"], "frac_coords": [[0.9793, 0.0207, 0.2500], [0.0207, 0.9793, 0.7500], [0.2622, 0.7378, 0.2500], [0.7378, 0.2622, 0.7500], [0.5000, 0.5000, 0.0000], [0.5000, 0.5000, 0.5000], [0.5654, 0.4346, 0.2500], [0.4346, 0.5654, 0.7500], [0.8406, 0.1594, 0.0763], [0.8406, 0.1594, 0.4237], [0.1594, 0.8406, 0.5763], [0.1594, 0.8406, 0.9237]], "rho_g_cm3": 5.98, "energy_ry_per_atom": -0.334, "spacegroup": "Cmcm (63)"}



{"formula": "K3Fe2", "functional": "PBE-GGA", "state": "relaxed", "lattice_angstrom": [[0.3084, 7.2924, 2.0329], [-1.8547, -1.8778, -7.1022], [-6.6639, 2.8135, 5.0379]], "species": ["Fe", "Fe", "Fe", "Fe", "K", "K", "K", "K", "K", "K"], "frac_coords": [[0.2951, 0.7049, 0.1148], [0.2049, 0.7951, 0.3852], [0.7951, 0.2049, 0.6148], [0.7049, 0.2951, 0.8852], [0.2500, 0.2046, 0.2500], [0.7954, 0.2954, 0.2500], [0.7046, 0.7500, 0.2500], [0.2954, 0.2500, 0.7500], [0.2046, 0.7046, 0.7500], [0.7500, 0.7954, 0.7500]], "rho_g_cm3": 2.00, "energy_ry_per_atom": -0.224, "spacegroup": "R-3c (167)"}



{"formula": "DyAgSnS3", "functional": "PBE-GGA", "state": "relaxed", "lattice_angstrom": [[-1.5347, -12.7842, 2.1503], [0.5866, -0.7317, -3.9313], [10.8003, -0.9944, 1.7966]], "species": ["Ag", "Ag", "Ag", "Ag", "Dy", "Dy", "Dy", "Dy", "S", "S", "S", "S", "S", "S", "S", "S", "S", "S", "S", "S", "Sn", "Sn", "Sn", "Sn"], "frac_coords": [[0.4765, 0.7500, 0.0893], [0.9765, 0.7500, 0.4107], [0.0235, 0.2500, 0.5893], [0.5235, 0.2500, 0.9107], [0.9887, 0.2500, 0.1602], [0.4887, 0.2500, 0.3398], [0.5113, 0.7500, 0.6602], [0.0113, 0.7500, 0.8398], [0.1103, 0.7500, 0.0597], [0.6076, 0.2500, 0.1300], [0.8589, 0.7500, 0.2270], [0.3589, 0.7500, 0.2730], [0.1076, 0.2500, 0.3700], [0.6103, 0.7500, 0.4403], [0.3897, 0.2500, 0.5597], [0.8924, 0.7500, 0.6300], [0.6411, 0.2500, 0.7270], [0.1411, 0.2500, 0.7730], [0.3924, 0.7500, 0.8700], [0.8897, 0.2500, 0.9403], [0.7424, 0.7500, 0.0298], [0.2424, 0.7500, 0.4702], [0.7576, 0.2500, 0.5298], [0.2576, 0.2500, 0.9702]], "rho_g_cm3": 5.56, "energy_ry_per_atom": -0.365, "spacegroup": "Pnma (62)", "relative_energy_ev_per_atom": 0.001}



{"formula": "Hf2GeMo", "functional": "PBE-GGA", "state": "relaxed", "lattice_angstrom": [[0.0000, 3.2969, 3.2969], [3.2969, 0.0000, 3.2969], [3.2969, 3.2969, 0.0000]], "species": ["Ge", "Hf", "Hf", "Mo"], "frac_coords": [[0.5000, 0.5000, 0.5000], [0.0000, 0.0000, 0.0000], [0.7500, 0.7500, 0.7500], [0.2500, 0.2500, 0.2500]], "rho_g_cm3": 12.18, "energy_ry_per_atom": -0.651, "spacegroup": "F-43m (216)"}



{"formula": "KAgTe3Pt", "functional": "PBE-GGA", "state": "relaxed", "lattice_angstrom": [[-7.8409, 1.3783, -0.5802], [-7.4440, -2.6711, -1.0803], [-1.0918, -1.4917, 11.2114]], "species": ["Ag", "Ag", "K", "K", "Pt", "Pt", "Te", "Te", "Te", "Te", "Te", "Te"], "frac_coords": [[0.5675, 0.5675, 0.2500], [0.4325, 0.4325, 0.7500], [0.2485, 0.2485, 0.2500], [0.7515, 0.7515, 0.7500], [0.0000, 0.0000, 0.0000], [0.0000, 0.0000, 0.5000], [0.6153, 0.6153, 0.0164], [0.9428, 0.9428, 0.2500], [0.6153, 0.6153, 0.4836], [0.3847, 0.3847, 0.5164], [0.0572, 0.0572, 0.7500], [0.3847, 0.3847, 0.9836]], "rho_g_cm3": 6.70, "energy_ry_per_atom": -0.264, "spacegroup": "Cmcm (63)"}



{"formula": "ScFeGe", "functional": "PBE-GGA", "state": "relaxed", "lattice_angstrom": [[0.0000, 3.0278, 3.0278], [3.0278, 0.0000, 3.0278], [3.0278, 3.0278, 0.0000]], "species": ["Fe", "Ge", "Sc"], "frac_coords": [[0.2500, 0.2500, 0.2500], [0.0000, 0.0000, 0.0000], [0.7500, 0.7500, 0.7500]], "rho_g_cm3": 5.19, "energy_ry_per_atom": -0.487, "spacegroup": "F-43m (216)"}



{"formula": "Li5IrO4", "functional": "PBE-GGA", "state": "relaxed", "lattice_angstrom": [[-4.5131, -0.2011, -1.9610], [1.2830, -0.0959, -2.9428], [0.1770, -5.3927, 0.2529]], "species": ["Ir", "Li", "Li", "Li", "Li", "Li", "O", "O", "O", "O"], "frac_coords": [[0.0000, 0.5000, 0.0000], [0.3662, 0.0000, 0.1789], [0.6599, 0.5000, 0.3426], [0.0000, 0.0000, 0.5000], [0.3401, 0.5000, 0.6574], [0.6338, 0.0000, 0.8211], [0.7802, 0.0000, 0.1579], [0.2524, 0.5000, 0.3236], [0.7476, 0.5000, 0.6764], [0.2198, 0.0000, 0.8421]], "rho_g_cm3": 5.65, "energy_ry_per_atom": -0.391, "spacegroup": "P2/m (10)"}



{"formula": "LuTlCdS3", "functional": "PBE-GGA", "state": "relaxed", "lattice_angstrom": [[2.0109, -7.1511, 0.0000], [2.0109, 7.1511, 0.0000], [0.0000, 0.0000, 10.6127]], "species": ["Cd", "Cd", "Lu", "Lu", "S", "S", "S", "S", "S", "S", "Tl", "Tl"], "frac_coords": [[0.5552, 0.4448, 0.2500], [0.4448, 0.5552, 0.7500], [0.0000, 0.0000, 0.0000], [0.0000, 0.0000, 0.5000], [0.6256, 0.3744, 0.0372], [0.9406, 0.0594, 0.2500], [0.6256, 0.3744, 0.4628], [0.3744, 0.6256, 0.5372], [0.0594, 0.9406, 0.7500], [0.3744, 0.6256, 0.9628], [0.2682, 0.7318, 0.2500], [0.7318, 0.2682, 0.7500]], "rho_g_cm3": 6.40, "energy_ry_per_atom": -0.328, "spacegroup": "Cmcm (63)", "relative_energy_ev_per_atom": 0.000}



{"formula": "HoLuHg2", "functional": "PBE-GGA", "state": "relaxed", "lattice_angstrom": [[-1.9802, 3.9097, -4.6021], [-4.8773, -3.2833, 2.4122], [-0.7791, 3.7349, 3.5082]], "species": ["Hg", "Hg", "Hg", "Hg", "Ho", "Ho", "Lu", "Lu"], "frac_coords": [[0.3693, 0.1333, 0.2500], [0.8667, 0.6307, 0.2500], [0.1333, 0.3693, 0.7500], [0.6307, 0.8667, 0.7500], [0.8676, 0.1324, 0.2500], [0.1324, 0.8676, 0.7500], [0.3733, 0.6267, 0.2500], [0.6267, 0.3733, 0.7500]], "rho_g_cm3": 12.57, "energy_ry_per_atom": -0.213, "spacegroup": "Cmcm (63)"}



{"formula": "NaGdAsO", "functional": "PBE-GGA", "state": "relaxed", "lattice_angstrom": [[-5.1887, 1.4507, 2.0478], [1.7013, -1.4241, 5.3196], [1.5914, 4.6523, 0.7365]], "species": ["As", "As", "Gd", "Gd", "Na", "Na", "O", "O"], "frac_coords": [[0.0000, 0.5000, 0.4979], [0.5000, 0.0000, 0.5021], [0.0000, 0.0000, 0.5000], [0.5000, 0.5000, 0.5000], [0.5000, 0.0000, 0.0020], [0.0000, 0.5000, 0.9980], [0.0000, 0.0000, 0.0000], [0.5000, 0.5000, 0.0000]], "rho_g_cm3": 5.45, "energy_ry_per_atom": -0.372, "spacegroup": "P4/nmm (129)", "relative_energy_ev_per_atom": 0.533}



{"formula": "CdAgNO", "functional": "PBE-GGA", "state": "relaxed", "lattice_angstrom": [[4.2581, 0.0000, 0.0000], [0.0000, 4.2581, 0.0000], [0.0000, 0.0000, 6.8078]], "species": ["Ag", "Ag", "Cd", "Cd", "N", "N", "O", "O"], "frac_coords": [[0.7500, 0.2500, 0.5000], [0.2500, 0.7500, 0.5000], [0.2500, 0.2500, 0.0986], [0.7500, 0.7500, 0.9014], [0.2500, 0.2500, 0.4370], [0.7500, 0.7500, 0.5630], [0.7500, 0.2500, 0.0000], [0.2500, 0.7500, 0.0000]], "rho_g_cm3": 6.73, "energy_ry_per_atom": -0.284, "spacegroup": "P4/nmm (129)", "relative_energy_ev_per_atom": 0.027}



{"formula": "KBi5Pd3", "functional": "PBE-GGA", "state": "relaxed", "lattice_angstrom": [[-0.1588, -4.7206, 3.4997], [5.0887, 1.7166, -2.3908], [1.5441, 5.0988, 6.9476]], "species": ["Bi", "Bi", "Bi", "Bi", "Bi", "K", "Pd", "Pd", "Pd"], "frac_coords": [[0.6667, 0.3333, 0.2348], [0.3333, 0.6667, 0.2348], [0.0000, 0.0000, 0.5000], [0.6667, 0.3333, 0.7652], [0.3333, 0.6667, 0.7652], [0.0000, 0.0000, 0.0000], [0.5000, 0.0000, 0.5000], [0.0000, 0.5000, 0.5000], [0.5000, 0.5000, 0.5000]], "rho_g_cm3": 8.89, "energy_ry_per_atom": -0.322, "spacegroup": "P6/mmm (191)"}



{"formula": "BeFeAg", "functional": "PBE-GGA", "state": "relaxed", "lattice_angstrom": [[0.0000, 2.7272, 2.7272], [2.7272, 0.0000, 2.7272], [2.7272, 2.7272, 0.0000]], "species": ["Ag", "Be", "Fe"], "frac_coords": [[0.2500, 0.2500, 0.2500], [0.0000, 0.0000, 0.0000], [0.7500, 0.7500, 0.7500]], "rho_g_cm3": 7.07, "energy_ry_per_atom": -0.326, "spacegroup": "F-43m (216)", "relative_energy_ev_per_atom": 0.000}



{"formula": "FeAs", "functional": "PBE-GGA", "state": "relaxed", "lattice_angstrom": [[4.1669, 0.0000, 0.0000], [0.0000, 2.9468, 0.0000], [0.0000, 0.0000, 4.1704]], "species": ["As", "As", "Fe", "Fe"], "frac_coords": [[0.2500, 0.0000, 0.2498], [0.7500, 0.0000, 0.7502], [0.7500, 0.5000, 0.2483], [0.2500, 0.5000, 0.7517]], "rho_g_cm3": 8.48, "energy_ry_per_atom": -0.467, "spacegroup": "Pmma (51)"}



{"formula": "PaCoSn", "functional": "PBE-GGA", "state": "relaxed", "lattice_angstrom": [[0.0000, 3.3488, 3.3488], [3.3488, 0.0000, 3.3488], [3.3488, 3.3488, 0.0000]], "species": ["Co", "Pa", "Sn"], "frac_coords": [[0.5000, 0.5000, 0.5000], [0.2500, 0.2500, 0.2500], [0.0000, 0.0000, 0.0000]], "rho_g_cm3": 9.04, "energy_ry_per_atom": -0.455, "spacegroup": "F-43m (216)"}